1.
Material: BaZn4Au4
Method: DFT, PBE
State: relaxed

energy above the lowest structure with this stoichiometry = 0.0 meV/atom
ΔH_f (0 K) = -0.38 eV per atom

Cell lengths 9.0500, 9.0500, 4.7607 Å; angles 90.00, 90.00, 90.00 degrees
Last column: nearest neighbours and their distance in Å.
Space group I4/m (No. 87)
Asymmetric unit:
Ba: 0.0000 0.0000 0.0000 x2  4 Au 3.48, 4 Zn 3.72
Zn: 0.1033 0.3973 0.0000 x8  5 Au 2.63-2.85, 1 Zn 2.64
Au: 0.1734 0.2962 0.5000 x8  5 Zn 2.63-2.85, 2 Au 2.88



2.
Material: Hf3Co6P5
Method: DFT, PBE
State: relaxed

ΔH_f (0 K) = -0.94 eV per atom

Cell lengths 3.5830, 11.1916, 8.9503 Å; angles 90.00, 90.00, 90.00 degrees
Last column: nearest neighbours and their distance in Å.
Space group Pmmn (No. 59, origin choice 2)
Asymmetric unit:
Hf: 0.2500 0.0941 0.2430 x4  6 P 2.69-2.75, 7 Co 2.74-2.93
Hf: 0.2500 0.7500 0.2636 x2  6 P 2.74-2.80, 10 Co 2.83-3.06
Co: 0.2500 0.0565 0.6003 x4  4 P 2.19-2.30, 1 Co 2.42
Co: 0.2500 0.2500 0.4785 x2  4 P 2.23, 2 Co 2.42
Co: 0.2500 0.2500 0.9805 x2  4 P 2.25-2.28
Co: 0.2500 0.5822 0.0088 x4  4 P 2.22-2.32
P: 0.2500 0.0783 0.8442 x4  5 Co 2.20-2.32
P: 0.2500 0.6311 0.5314 x4  5 Co 2.19-2.30
P: 0.2500 0.7500 0.8665 x2  4 Co 2.25-2.27



3.
Material: Ho3HgSe6
Method: DFT, PBE
State: relaxed

uncorrected formation energy = -31.11 kcal/mol of atoms

Cell lengths 10.9988, 14.0549, 6.8523 Å; angles 90.00, 90.00, 90.00 degrees
Last column: nearest neighbours and their distance in Å.
Space group Cmc2_1 (No. 36)
Asymmetric unit:
Ho: 0.0000 0.0957 0.0000 x4  7 Se 2.84-2.98
Ho: 0.1826 0.4038 0.9028 x8  7 Se 2.82-3.04
Hg: 0.0000 0.2926 0.3778 x4  4 Se 2.62-2.80
Se: 0.0000 0.2721 0.7574 x4  1 Hg 2.62, 2 Ho 2.91
Se: 0.0000 0.4704 0.1932 x4  1 Hg 2.80, 4 Ho 2.98-3.04
Se: 0.1623 0.0336 0.7039 x8  4 Ho 2.82-2.91
Se: 0.1851 0.2284 0.1513 x8  1 Hg 2.71, 3 Ho 2.92-3.00



Ρ per entry: 10.11 9.66 7.33 g/cm³
Energy per entry: -2.613 -8.052 -4.843 eV per atom
V per entry: 21.7 12.8 26.5 A^3/atom